Density functional theory data (GGA-PBE) for crystalline La7Nd2Er3 at its relaxed geometry.

Output
**Crystal system**: monoclinic
**ΔE_f**: 58.3 meV per atom
**Electronic total energy**: -4.751 eV per atom
**Space-group type**: No. 10
**Density**: 7.0 Mg/m³

a b c (Å): 6.559 3.601 17.841
angles (deg): 90.00 95.50 90.00
Sites, in units of the cell vectors:
La 0.000 0.000 0.000
La 0.229 0.500 0.172
La 0.262 0.500 0.491
La 0.282 0.000 0.835
La 0.718 0.000 0.165
La 0.738 0.500 0.509
La 0.771 0.500 0.828
Nd 0.060 0.500 0.670
Nd 0.940 0.500 0.330
Er 0.457 0.000 0.338
Er 0.500 0.500 0.000
Er 0.543 0.000 0.662

Density functional theory data (GGA-PBE) for crystalline Tm4Ni2N at its relaxed geometry.

Output
**Formation energy (no corrections)**: -0.599 eV/atom
**Crystal system**: tetragonal
**Electronic total energy**: -5.996 eV per atom
**Space-group type**: No. 139
**Density**: 9.5 Mg/m³

a b c (Å): 4.572 4.572 13.503
angles (deg): 90.00 90.00 90.00
Sites, in units of the cell vectors:
Tm 0.000 0.000 0.181
Tm 0.000 0.000 0.819
Tm 0.000 0.500 0.000
Tm 0.000 0.500 0.500
Tm 0.500 0.000 0.000
Tm 0.500 0.000 0.500
Tm 0.500 0.500 0.319
Tm 0.500 0.500 0.681
Ni 0.000 0.000 0.375
Ni 0.000 0.000 0.625
Ni 0.500 0.500 0.125
Ni 0.500 0.500 0.875
N 0.000 0.000 0.000
N 0.500 0.500 0.500

Density functional theory data (GGA-PBE) for crystalline BaCdTe2 at its relaxed geometry.

Output
**Formation energy (no corrections)**: -0.996 eV/atom
**Crystal system**: tetragonal
**Electronic total energy**: -3.277 eV per atom
**Space-group type**: No. 122
**Density**: 5.4 Mg/m³

a b c (Å): 8.282 8.282 9.122
angles (deg): 90.00 90.00 90.00
Sites, in units of the cell vectors:
Ba 0.000 0.000 0.000
Ba 0.000 0.500 0.250
Ba 0.500 0.000 0.750
Ba 0.500 0.500 0.500
Cd 0.000 0.000 0.500
Cd 0.000 0.500 0.750
Cd 0.500 0.000 0.250
Cd 0.500 0.500 0.000
Te 0.193 0.750 0.625
Te 0.250 0.193 0.375
Te 0.250 0.307 0.875
Te 0.307 0.750 0.125
Te 0.693 0.250 0.125
Te 0.750 0.693 0.875
Te 0.750 0.807 0.375
Te 0.807 0.250 0.625

Density functional theory data (GGA-PBE) for crystalline K3Te at its relaxed geometry.

Output
**Formation energy (no corrections)**: -0.574 eV/atom
**Crystal system**: tetragonal
**Offset from the most stable computed form**: 6.7 kJ per mole of atoms
**Electronic total energy**: -2.182 eV per atom
**Space-group type**: No. 123
**Density**: 2.2 Mg/m³

a b c (Å): 4.699 4.699 8.465
angles (deg): 90.00 90.00 90.00
Sites, in units of the cell vectors:
K 0.000 0.000 0.000
K 0.500 0.500 0.317
K 0.500 0.500 0.683
Te 0.000 0.000 0.500

Density functional theory data (GGA-PBE) for crystalline Dy2AlSi4Pt3 at its relaxed geometry.

Output
**Formation energy (no corrections)**: -1.000 eV/atom
**Crystal system**: tetragonal
**Electronic total energy**: -6.276 eV per atom
**Space-group type**: No. 115
**Density**: 10.0 Mg/m³

a b c (Å): 4.066 4.066 10.505
angles (deg): 90.00 90.00 90.00
Sites, in units of the cell vectors:
Dy 0.000 0.500 0.249
Dy 0.500 0.000 0.751
Al 0.500 0.500 0.000
Si 0.000 0.000 0.500
Si 0.000 0.500 0.855
Si 0.500 0.000 0.145
Si 0.500 0.500 0.500
Pt 0.000 0.000 0.000
Pt 0.000 0.500 0.628
Pt 0.500 0.000 0.372

Density functional theory data (GGA-PBE) for crystalline Mg2TaHgF at its relaxed geometry.

Output
**Formation energy (no corrections)**: 0.797 eV/atom
**Crystal system**: tetragonal
**Electronic total energy**: -2.646 eV per atom
**Space-group type**: No. 123
**Density**: 4.4 Mg/m³

a b c (Å): 5.660 5.660 5.345
angles (deg): 90.00 90.00 90.00
Sites, in units of the cell vectors:
Mg 0.000 0.500 0.000
Mg 0.500 0.000 0.000
Ta 0.000 0.000 0.000
Hg 0.000 0.000 0.500
F 0.500 0.500 0.500